Record 1
Crystalline ScTiCo4 at its relaxed geometry, computed with GGA-PBE.

a = 4.789 Å, b = 4.789 Å, c = 4.789 Å
α = 60.00°, β = 60.00°, γ = 60.00°
Fractional positions:
Sc  0.000  0.000  0.000
Ti  0.250  0.250  0.250
Co  0.125  0.625  0.625
Co  0.625  0.125  0.625
Co  0.625  0.625  0.125
Co  0.625  0.625  0.625

Calculated values
**Energy relative to the elements**: -29.9 kJ per mole of atoms

---

Record 2
Crystalline ScTi3Co2 at its relaxed geometry, computed with GGA-PBE.

a = 3.140 Å, b = 8.105 Å, c = 7.428 Å
α = 90.00°, β = 90.00°, γ = 90.00°
Fractional positions:
Sc  0.000  0.089  0.000
Sc  0.000  0.911  0.500
Ti  0.000  0.300  0.633
Ti  0.000  0.700  0.133
Ti  0.500  0.202  0.333
Ti  0.500  0.444  0.956
Ti  0.500  0.556  0.456
Ti  0.500  0.798  0.833
Co  0.000  0.400  0.240
Co  0.000  0.600  0.740
Co  0.500  0.095  0.713
Co  0.500  0.905  0.213

Calculated values
**Energy relative to the elements**: -22.6 kJ per mole of atoms
**Relative energy among the computed polymorphs**: 0.0 kJ/mol of atoms

---

Record 3
Crystalline ScTi2Co at its relaxed geometry, computed with GGA-PBE.

a = 5.749 Å, b = 5.749 Å, c = 5.749 Å
α = 103.07°, β = 103.07°, γ = 123.22°
Fractional positions:
Sc  0.000  0.000  0.000
Sc  0.750  0.250  0.500
Ti  0.190  0.625  0.065
Ti  0.375  0.440  0.565
Ti  0.560  0.125  0.935
Ti  0.875  0.810  0.435
Co  0.250  0.750  0.500
Co  0.500  0.500  0.000

Calculated values
**Energy relative to the elements**: 2.9 kJ per mole of atoms
**Relative energy among the computed polymorphs**: 20.8 kJ/mol of atoms

---

Record 4
Crystalline ScTi3Co4 at its relaxed geometry, computed with GGA-PBE.

a = 4.265 Å, b = 4.265 Å, c = 6.027 Å
α = 90.00°, β = 90.00°, γ = 90.00°
Fractional positions:
Sc  0.000  0.000  0.000
Ti  0.000  0.000  0.500
Ti  0.500  0.500  0.000
Ti  0.500  0.500  0.500
Co  0.000  0.500  0.262
Co  0.000  0.500  0.738
Co  0.500  0.000  0.262
Co  0.500  0.000  0.738

Calculated values
**Energy relative to the elements**: -35.9 kJ per mole of atoms

---

Record 5
Crystalline ScTiCo3 at its relaxed geometry, computed with GGA-PBE.

a = 4.269 Å, b = 4.269 Å, c = 4.269 Å
α = 90.00°, β = 90.00°, γ = 90.00°
Fractional positions:
Sc  0.000  0.000  0.000
Ti  0.500  0.500  0.500
Co  0.000  0.500  0.500
Co  0.500  0.000  0.500
Co  0.500  0.500  0.000

Calculated values
**Energy relative to the elements**: 41.3 kJ per mole of atoms
**Relative energy among the computed polymorphs**: 0.0 kJ/mol of atoms

---

Record 6
Crystalline ScTi2Co2 at its relaxed geometry, computed with GGA-PBE.

a = 7.309 Å, b = 7.309 Å, c = 2.761 Å
α = 90.00°, β = 90.00°, γ = 90.00°
Fractional positions:
Sc  0.000  0.000  0.000
Sc  0.500  0.500  0.000
Ti  0.145  0.355  0.000
Ti  0.355  0.855  0.000
Ti  0.645  0.145  0.000
Ti  0.855  0.645  0.000
Co  0.150  0.650  0.500
Co  0.350  0.150  0.500
Co  0.650  0.850  0.500
Co  0.850  0.350  0.500

Calculated values
**Energy relative to the elements**: -20.2 kJ per mole of atoms
**Relative energy among the computed polymorphs**: 6.5 kJ/mol of atoms

---

Record 7
Crystalline ScTi2Co at its relaxed geometry, computed with GGA-PBE.

a = 5.808 Å, b = 5.808 Å, c = 5.808 Å
α = 39.90°, β = 39.90°, γ = 39.90°
Fractional positions:
Sc  0.000  0.000  0.000
Ti  0.211  0.211  0.211
Ti  0.442  0.442  0.442
Co  0.816  0.816  0.816

Calculated values
**Energy relative to the elements**: 0.8 kJ per mole of atoms
**Relative energy among the computed polymorphs**: 18.8 kJ/mol of atoms

---

Record 8
Crystalline ScTi3Co2 at its relaxed geometry, computed with GGA-PBE.

a = 7.190 Å, b = 7.190 Å, c = 6.958 Å
α = 114.19°, β = 114.19°, γ = 35.28°
Fractional positions:
Sc  0.135  0.135  0.206
Sc  0.865  0.865  0.794
Ti  0.063  0.063  0.718
Ti  0.303  0.303  0.018
Ti  0.392  0.392  0.497
Ti  0.608  0.608  0.503
Ti  0.697  0.697  0.982
Ti  0.937  0.937  0.282
Co  0.219  0.219  0.629
Co  0.486  0.486  0.149
Co  0.514  0.514  0.851
Co  0.781  0.781  0.371

Calculated values
**Energy relative to the elements**: -21.4 kJ per mole of atoms
**Relative energy among the computed polymorphs**: 1.2 kJ/mol of atoms

---

Record 9
Crystalline Sc3TiCo4 at its relaxed geometry, computed with GGA-PBE.

a = 3.079 Å, b = 3.079 Å, c = 12.431 Å
α = 90.00°, β = 90.00°, γ = 90.00°
Fractional positions:
Sc  0.000  0.000  0.000
Sc  0.000  0.000  0.252
Sc  0.000  0.000  0.748
Ti  0.000  0.000  0.500
Co  0.500  0.500  0.129
Co  0.500  0.500  0.390
Co  0.500  0.500  0.610
Co  0.500  0.500  0.871

Calculated values
**Energy relative to the elements**: -36.4 kJ per mole of atoms

---

Record 10
Crystalline ScTiTlCo2 at its relaxed geometry, computed with GGA-PBE.

a = 4.345 Å, b = 4.345 Å, c = 5.298 Å
α = 90.00°, β = 90.00°, γ = 90.00°
Fractional positions:
Sc  0.000  0.000  0.000
Ti  0.500  0.500  0.500
Tl  0.000  0.000  0.500
Co  0.000  0.500  0.000
Co  0.500  0.000  0.000

Calculated values
**Energy relative to the elements**: 106.4 kJ per mole of atoms

---

Record 11
Crystalline ScTlCo at its relaxed geometry, computed with GGA-PBE.

a = 3.280 Å, b = 3.280 Å, c = 6.293 Å
α = 90.00°, β = 90.00°, γ = 120.00°
Fractional positions:
Sc  0.000  0.000  0.000
Tl  0.667  0.333  0.410
Co  0.333  0.667  0.729

Calculated values
**Energy relative to the elements**: 15.6 kJ per mole of atoms

---

Record 12
Crystalline Sc5TlCo4 at its relaxed geometry, computed with GGA-PBE.

a = 3.135 Å, b = 3.135 Å, c = 17.313 Å
α = 90.00°, β = 90.00°, γ = 90.00°
Fractional positions:
Sc  0.000  0.000  0.000
Sc  0.000  0.000  0.180
Sc  0.000  0.000  0.360
Sc  0.000  0.000  0.640
Sc  0.000  0.000  0.820
Tl  0.500  0.500  0.500
Co  0.500  0.500  0.090
Co  0.500  0.500  0.274
Co  0.500  0.500  0.726
Co  0.500  0.500  0.910

Calculated values
**Energy relative to the elements**: -32.7 kJ per mole of atoms

---

no.,total magnetization (μB/atom)
1,0.45
2,0.00
3,0.00
4,0.30
5,0.00
6,0.00
7,0.00
8,0.00
9,0.18
10,0.42
11,0.00
12,0.16